A geometry-optimized ZrGaCoAu structure, computed with PBE.

Geometry as POSCAR:
```
ZrGaCoAu
1.0
-2.7030 -0.0474 -3.6494
-2.9936 -3.3683 -0.5650
-4.4451 0.8123 0.4558
Co Au Ga Zr
1 1 1 1
Cartesian
-7.6062 -1.9525 -2.8189
-2.5354 -0.6508 -0.9396
-5.0708 -1.3017 -1.8793
0.0000 0.0000 0.0000
```

Results
D(E_F)	2.84	states/eV/cell
ΔH_f (0 K)	-0.283	eV per atom
electronic total energy	-23.091	eV for the cell shown

=====

A geometry-optimized GdCo4Au structure, computed with PBE.

Geometry as POSCAR:
```
GdCo4Au
1.0
-2.8393 0.9707 -3.9794
1.7688 -0.8287 -4.5852
-1.8227 -3.7470 -2.7345
Co Gd Au
4 1 1
Cartesian
-0.8935 -0.3707 -5.6950
-2.7005 -1.8390 -4.7638
-1.8106 -2.2560 -7.0709
-0.3820 -2.7444 -5.0686
-0.7233 -0.9013 -2.8248
0.0000 0.0000 0.0000
```

Results
D(E_F)	7.62	states/eV/cell
ΔH_f (0 K)	-0.099	eV per atom
electronic total energy	-46.375	eV for the cell shown